# 1
Entry from Alexandria via LeMat-Bulk: crystalline AcTmGa2Pt2 at its relaxed geometry (PBE).

The space group is P-3m1 (No. 164) and the conventional cell measures 4.5253, 4.5253 and 7.4155 Å, with angles of 90.00, 90.00 and 120.00 degrees. The inequivalent atoms are Ac at (0.0000, 0.0000, 0.0000), Tm at (0.0000, 0.0000, 0.5000), Ga at (0.3333, 0.6667, 0.7022) and Pt at (0.3333, 0.6667, 0.2939).

The calculation puts the formation energy at -24.317 kcal/mol of atoms.

# 2
Entry from Alexandria via LeMat-Bulk: crystalline ZrZn2Ru at its relaxed geometry (PBE).

The space group is P4mm (No. 99) and the conventional cell measures 3.251, 3.251 and 6.303 Å, with angles of 90.00, 90.00 and 90.00 degrees. The inequivalent atoms are Zr at (0.000, 0.000, 0.000), Zn at (0.000, 0.000, 0.467), Zn at (0.500, 0.500, 0.686) and Ru at (0.500, 0.500, 0.231).

The calculation puts the formation energy at -4.816 kcal/mol of atoms.

# 3
Entry from Alexandria via LeMat-Bulk: crystalline MgFe2Cl at its relaxed geometry (PBE).

The space group is Cm (No. 8) and the conventional cell measures 5.464, 3.040 and 8.108 Å, with angles of 90.00, 107.58 and 90.00 degrees. The inequivalent atoms are Mg at (0.000, 0.000, 0.000), Fe at (0.205, 0.000, 0.727), Fe at (0.439, 0.000, 0.521) and Cl at (0.285, 0.500, 0.246).

The value obtained for the energy above the most stable polymorph in this dataset is 7.3 kJ/mol of atoms.

no.,energy (eV per atom),calculated density (g cm⁻³),magnetic moment (Bohr magnetons per cell)
1,-5.507,11.69,0.00
2,-5.302,8.06,0.00
3,-5.091,4.43,10.15